No. 1
# KYRe2, optimized geometry, DFT PBE-GGA
# - ΔE to the lowest computed polymorph (meV/atom) = 0
# - energy of formation (kJ/mol of formula units) = 201
# - DOS at the Fermi energy (states/eV/f.u.) = 4.4
# - M_tot (μB per formula unit) = 0.30
# - crystal system = tetragonal
data_KYRe2
_cell_length_a 3.171
_cell_length_b 3.171
_cell_length_c 10.021
_cell_angle_alpha 90.00
_cell_angle_beta 90.00
_cell_angle_gamma 90.00
_space_group_name_H-M_alt 'P 4 m m'
_space_group_IT_number 99
loop_
_space_group_symop_operation_xyz
'x,y,z'
'-y,x,z'
'-x,-y,z'
'y,-x,z'
'-x,y,z'
'y,x,z'
'x,-y,z'
'-y,-x,z'
loop_
_atom_site_label
_atom_site_type_symbol
_atom_site_fract_x
_atom_site_fract_y
_atom_site_fract_z
_atom_site_occupancy
K1 K 0.000 0.000 0.000 1
Y1 Y 0.500 0.500 0.620 1
Re1 Re 0.000 0.000 0.409 1
Re2 Re 0.500 0.500 0.283 1



No. 2
# BeFeP, optimized geometry, DFT PBE-GGA
# - ΔE to the lowest computed polymorph (meV/atom) = 0
# - energy of formation (kJ/mol of formula units) = -116
# - DOS at the Fermi energy (states/eV/f.u.) = 0.4
# - M_tot (μB per formula unit) = 0.00
# - crystal system = monoclinic
data_BeFeP
_cell_length_a 7.364
_cell_length_b 2.818
_cell_length_c 5.884
_cell_angle_alpha 90.00
_cell_angle_beta 101.15
_cell_angle_gamma 90.00
_space_group_name_H-M_alt 'C 1 m 1'
_space_group_IT_number 8
loop_
_space_group_symop_operation_xyz
'x,y,z'
'x,-y,z'
'x+1/2,y+1/2,z'
'x+1/2,-y+1/2,z'
loop_
_atom_site_label
_atom_site_type_symbol
_atom_site_fract_x
_atom_site_fract_y
_atom_site_fract_z
_atom_site_occupancy
Be1 Be 0.000 0.000 0.000 1
Be2 Be 0.210 0.000 0.478 1
Fe1 Fe 0.261 0.000 0.867 1
Fe2 Fe 0.471 0.000 0.299 1
P1 P 0.027 0.500 0.685 1
P2 P 0.239 0.500 0.172 1



No. 3
# Mg8Al2In, optimized geometry, DFT PBE-GGA
# - energy of formation (kJ/mol of formula units) = 9
# - DOS at the Fermi energy (states/eV/f.u.) = 3.5
# - M_tot (μB per formula unit) = 0.00
# - crystal system = triclinic
data_Mg8Al2In
_cell_length_a 4.830
_cell_length_b 7.063
_cell_length_c 8.313
_cell_angle_alpha 64.93
_cell_angle_beta 73.30
_cell_angle_gamma 89.98
_space_group_name_H-M_alt 'P 1'
_space_group_IT_number 1
loop_
_space_group_symop_operation_xyz
'x,y,z'
loop_
_atom_site_label
_atom_site_type_symbol
_atom_site_fract_x
_atom_site_fract_y
_atom_site_fract_z
_atom_site_occupancy
Mg1 Mg 0.000 0.000 0.000 1
Mg2 Mg 0.038 0.495 0.922 1
Mg3 Mg 0.205 0.348 0.595 1
Mg4 Mg 0.368 0.824 0.267 1
Mg5 Mg 0.406 0.402 0.190 1
Mg6 Mg 0.578 0.868 0.845 1
Mg7 Mg 0.704 0.644 0.594 1
Mg8 Mg 0.827 0.119 0.348 1
Al1 Al 0.544 0.245 0.911 1
Al2 Al 0.863 0.563 0.276 1
In1 In 0.203 0.925 0.596 1